Run a
Material: ZnRuOF2
Method: DFT, PBE-GGA
State: relaxed

Mass density ... 5.253 g/cm³

Cell: 4.3407 4.3407 3.6990 Å, 90.00 90.00 90.00°
Each line ends with the local moment (μB).
Sites, in units of the cell vectors:
Zn1 0.5000 0.5000 0.5000  0.08
F1 0.0000 0.5000 0.0000  0.01
F2 0.5000 0.0000 0.0000  0.01
O1 0.0000 0.0000 0.5000  0.02
Ru1 0.0000 0.0000 0.0000  0.29



Run b
Material: ZnRuOF2
Method: DFT, PBE-GGA
State: relaxed

Mass density ... 5.756 g/cm³

Cell: 3.9624 3.9624 4.0511 Å, 90.00 90.00 90.00°
Each line ends with the local moment (μB).
Sites, in units of the cell vectors:
Zn1 0.0000 0.0000 0.0000  0.01
F1 0.5000 0.0000 0.0000  0.06
F2 0.0000 0.5000 0.0000  0.06
Ru1 0.5000 0.5000 0.5000  3.28
O1 0.0000 0.0000 0.5000  0.31



Energies relative to the most stable structure are run a 0; run b 188, reported in meV/atom.



Run a
Material: ZrRuOF2
Method: DFT, PBE-GGA
State: relaxed

Mass density ... 5.683 g/cm³

Cell: 4.4061 4.4061 3.7072 Å, 90.00 90.00 90.00°
Sites, in units of the cell vectors:
F1 0.0000 0.5000 0.0000
F2 0.5000 0.0000 0.0000
Ru1 0.0000 0.0000 0.0000
Zr1 0.5000 0.5000 0.5000
O1 0.0000 0.0000 0.5000



Run b
Material: ZrRuOF2
Method: DFT, PBE-GGA
State: relaxed

Mass density ... 5.420 g/cm³

Cell: 4.2731 4.2731 4.1328 Å, 90.00 90.00 90.00°
Each line ends with the local moment (μB).
Sites, in units of the cell vectors:
Ru1 0.5000 0.5000 0.5000  2.28
Zr1 0.0000 0.0000 0.0000  -0.20
F1 0.0000 0.5000 0.0000  0.01
F2 0.5000 0.0000 0.0000  0.01
O1 0.0000 0.0000 0.5000  0.05



Energies relative to the most stable structure are run a 764; run b 0, reported in meV/atom.



Run a
Material: SbSOF2
Method: DFT, PBE-GGA
State: relaxed

Mass density ... 4.223 g/cm³

Cell: 4.4497 4.4497 4.1268 Å, 90.00 90.00 90.00°
Each line ends with the local moment (μB).
Sites, in units of the cell vectors:
S1 0.5000 0.5000 0.5000  1.27
Sb1 0.0000 0.0000 0.0000  0.01
O1 0.0000 0.0000 0.5000  0.18
F1 0.0000 0.5000 0.0000  0.05
F2 0.5000 0.0000 0.0000  0.05



Run b
Material: SbSOF2
Method: DFT, PBE-GGA
State: relaxed

Mass density ... 4.297 g/cm³

Cell: 4.9141 4.9141 3.3258 Å, 90.00 90.00 90.00°
Sites, in units of the cell vectors:
F1 0.5000 0.0000 0.0000
F2 0.0000 0.5000 0.0000
S1 0.0000 0.0000 0.0000
O1 0.0000 0.0000 0.5000
Sb1 0.5000 0.5000 0.5000



Energies relative to the most stable structure are run a 0; run b 418, reported in meV/atom.